--- one ---
Compound: VNi2Pd
Source: the Alexandria database
Functional: PBE
Structure: relaxed

Cell and atoms, written as CIF:
```
data_VNi2Pd
_cell_length_a 3.8767
_cell_length_b 4.6726
_cell_length_c 6.3722
_cell_angle_alpha 90.00
_cell_angle_beta 90.00
_cell_angle_gamma 114.51
_space_group_name_H-M_alt 'P 1'
_space_group_IT_number 1
_space_group_name_Hall 'P 1'
loop_
_atom_site_label
_atom_site_type_symbol
_atom_site_fract_x
_atom_site_fract_y
_atom_site_fract_z
V1 V 0.2170 0.4339 0.2500
V2 V 0.7830 0.5661 0.7500
Pd1 Pd 0.9236 0.8473 0.2500
Ni1 Ni 0.6332 0.2664 0.0556
Ni2 Ni 0.3668 0.7336 0.9444
Ni3 Ni 0.6332 0.2664 0.4444
Pd2 Pd 0.0764 0.1527 0.7500
Ni4 Ni 0.3668 0.7336 0.5556
```

--- two ---
Compound: VNi2Pd
Source: the Alexandria database
Functional: PBE
Structure: relaxed

Cell and atoms, written as CIF:
```
data_VNi2Pd
_cell_length_a 2.6433
_cell_length_b 2.6433
_cell_length_c 8.5689
_cell_angle_alpha 81.12
_cell_angle_beta 81.12
_cell_angle_gamma 59.98
_space_group_name_H-M_alt 'P 1'
_space_group_IT_number 1
_space_group_name_Hall 'P 1'
loop_
_atom_site_label
_atom_site_type_symbol
_atom_site_fract_x
_atom_site_fract_y
_atom_site_fract_z
Pd1 Pd 0.5003 0.5003 0.4999
V1 V 0.6670 0.6670 0.0001
Ni1 Ni 0.2549 0.2549 0.2356
Ni2 Ni 0.0779 0.0779 0.7643
```

--- three ---
Compound: VNi2Pd
Source: the Alexandria database
Functional: PBE
Structure: relaxed

Cell and atoms, written as CIF:
```
data_VNi2Pd
_cell_length_a 3.0710
_cell_length_b 3.0710
_cell_length_c 5.3686
_cell_angle_alpha 90.00
_cell_angle_beta 90.00
_cell_angle_gamma 90.00
_space_group_name_H-M_alt 'P 1'
_space_group_IT_number 1
_space_group_name_Hall 'P 1'
loop_
_atom_site_label
_atom_site_type_symbol
_atom_site_fract_x
_atom_site_fract_y
_atom_site_fract_z
Ni1 Ni 0.0000 0.0000 0.7252
V1 V 0.5000 0.5000 0.5000
Pd1 Pd 0.5000 0.5000 0.0000
Ni2 Ni 0.0000 0.0000 0.2748
```

--- four ---
Compound: VNi2Pd
Source: the Alexandria database
Functional: PBE
Structure: relaxed

Cell and atoms, written as CIF:
```
data_VNi2Pd
_cell_length_a 3.6728
_cell_length_b 4.5135
_cell_length_c 4.5135
_cell_angle_alpha 48.10
_cell_angle_beta 65.99
_cell_angle_gamma 65.99
_space_group_name_H-M_alt 'P 1'
_space_group_IT_number 1
_space_group_name_Hall 'P 1'
loop_
_atom_site_label
_atom_site_type_symbol
_atom_site_fract_x
_atom_site_fract_y
_atom_site_fract_z
V1 V 0.5000 0.0000 0.0000
Pd1 Pd 0.0000 0.5000 0.5000
Ni1 Ni 0.2498 0.7502 0.7502
Ni2 Ni 0.7502 0.2498 0.2498
```

Verdict on stability: four comes out on top.

--- one ---
Compound: VNi2Pd
Source: the Alexandria database
Functional: PBE
Structure: relaxed

Cell and atoms, written as CIF:
```
data_VNi2Pd
_cell_length_a 4.1468
_cell_length_b 4.1468
_cell_length_c 4.1468
_cell_angle_alpha 60.00
_cell_angle_beta 60.00
_cell_angle_gamma 60.00
_space_group_name_H-M_alt 'P 1'
_space_group_IT_number 1
_space_group_name_Hall 'P 1'
loop_
_atom_site_label
_atom_site_type_symbol
_atom_site_fract_x
_atom_site_fract_y
_atom_site_fract_z
Ni1 Ni 0.2500 0.2500 0.2500
Pd1 Pd 0.5000 0.5000 0.5000
Ni2 Ni 0.7500 0.7500 0.7500
V1 V 0.0000 0.0000 0.0000
```

--- two ---
Compound: VNi2Pd
Source: the Alexandria database
Functional: PBE
Structure: relaxed

Cell and atoms, written as CIF:
```
data_VNi2Pd
_cell_length_a 6.5400
_cell_length_b 6.5400
_cell_length_c 5.2781
_cell_angle_alpha 51.72
_cell_angle_beta 51.72
_cell_angle_gamma 90.00
_space_group_name_H-M_alt 'P 1'
_space_group_IT_number 1
_space_group_name_Hall 'P 1'
loop_
_atom_site_label
_atom_site_type_symbol
_atom_site_fract_x
_atom_site_fract_y
_atom_site_fract_z
Pd1 Pd 0.0000 0.0000 0.0000
Ni1 Ni 0.5977 0.1250 0.2500
Pd2 Pd 0.7500 0.2500 0.5000
Ni2 Ni 0.1523 0.6250 0.2500
V1 V 0.5000 0.5000 0.0000
Ni3 Ni 0.8750 0.8477 0.7500
V2 V 0.2500 0.7500 0.5000
Ni4 Ni 0.3750 0.4023 0.7500
```

--- three ---
Compound: VNi2Pd
Source: the Alexandria database
Functional: PBE
Structure: relaxed

Cell and atoms, written as CIF:
```
data_VNi2Pd
_cell_length_a 3.6455
_cell_length_b 3.7155
_cell_length_c 3.7155
_cell_angle_alpha 90.00
_cell_angle_beta 90.00
_cell_angle_gamma 90.00
_space_group_name_H-M_alt 'P 1'
_space_group_IT_number 1
_space_group_name_Hall 'P 1'
loop_
_atom_site_label
_atom_site_type_symbol
_atom_site_fract_x
_atom_site_fract_y
_atom_site_fract_z
Pd1 Pd 0.5000 0.0000 0.0000
Ni1 Ni 0.0000 0.0000 0.5000
Ni2 Ni 0.0000 0.5000 0.0000
V1 V 0.5000 0.5000 0.5000
```

Verdict on stability: three comes out on top.

--- one ---
Compound: VNiPd4
Source: the Alexandria database
Functional: PBE
Structure: relaxed

Cell and atoms, written as CIF:
```
data_VNiPd4
_cell_length_a 5.7810
_cell_length_b 5.8263
_cell_length_c 5.8240
_cell_angle_alpha 90.00
_cell_angle_beta 90.00
_cell_angle_gamma 90.01
_space_group_name_H-M_alt 'P 1'
_space_group_IT_number 1
_space_group_name_Hall 'P 1'
loop_
_atom_site_label
_atom_site_type_symbol
_atom_site_fract_x
_atom_site_fract_y
_atom_site_fract_z
Pd1 Pd 0.7495 0.0001 0.5000
Pd2 Pd 0.2505 0.9999 0.0000
Pd3 Pd 0.7495 0.0001 0.0000
Pd4 Pd 0.7495 0.5001 0.0000
Pd5 Pd 0.2505 0.4999 0.5000
Ni1 Ni 0.5000 0.7500 0.7501
Pd6 Pd 0.2505 0.4999 0.0000
Ni2 Ni 0.5000 0.2500 0.2499
Pd7 Pd 0.7495 0.5001 0.5000
V1 V 0.0000 0.7500 0.2500
Pd8 Pd 0.2505 0.9999 0.5000
V2 V 0.0000 0.2500 0.7500
```

--- two ---
Compound: VNiPd4
Source: the Alexandria database
Functional: PBE
Structure: relaxed

Cell and atoms, written as CIF:
```
data_VNiPd4
_cell_length_a 4.7889
_cell_length_b 4.7889
_cell_length_c 4.6286
_cell_angle_alpha 81.69
_cell_angle_beta 81.69
_cell_angle_gamma 122.00
_space_group_name_H-M_alt 'P 1'
_space_group_IT_number 1
_space_group_name_Hall 'P 1'
loop_
_atom_site_label
_atom_site_type_symbol
_atom_site_fract_x
_atom_site_fract_y
_atom_site_fract_z
Pd1 Pd 0.1588 0.3420 0.0013
Ni1 Ni 0.4982 0.0028 0.0013
V1 V 0.9981 0.5026 0.5013
Pd2 Pd 0.6586 0.8422 0.5013
Pd3 Pd 0.3376 0.1632 0.5013
Pd4 Pd 0.8375 0.6634 0.0013
```

Verdict on stability: two comes out on top.

--- one ---
Compound: VNiPd6
Source: the Alexandria database
Functional: PBE
Structure: relaxed

Cell and atoms, written as CIF:
```
data_VNiPd6
_cell_length_a 3.8670
_cell_length_b 5.4928
_cell_length_c 5.4928
_cell_angle_alpha 90.00
_cell_angle_beta 90.00
_cell_angle_gamma 90.00
_space_group_name_H-M_alt 'P 1'
_space_group_IT_number 1
_space_group_name_Hall 'P 1'
loop_
_atom_site_label
_atom_site_type_symbol
_atom_site_fract_x
_atom_site_fract_y
_atom_site_fract_z
V1 V 0.5000 0.0000 0.0000
Pd1 Pd 0.0000 0.7524 0.2476
Pd2 Pd 0.5000 0.5000 0.0000
Pd3 Pd 0.5000 0.0000 0.5000
Pd4 Pd 0.0000 0.2476 0.7524
Ni1 Ni 0.5000 0.5000 0.5000
Pd5 Pd 0.0000 0.7524 0.7524
Pd6 Pd 0.0000 0.2476 0.2476
```

--- two ---
Compound: VNiPd6
Source: the Alexandria database
Functional: PBE
Structure: relaxed

Cell and atoms, written as CIF:
```
data_VNiPd6
_cell_length_a 7.1536
_cell_length_b 7.1692
_cell_length_c 4.9960
_cell_angle_alpha 43.60
_cell_angle_beta 43.78
_cell_angle_gamma 59.99
_space_group_name_H-M_alt 'P 1'
_space_group_IT_number 1
_space_group_name_Hall 'P 1'
loop_
_atom_site_label
_atom_site_type_symbol
_atom_site_fract_x
_atom_site_fract_y
_atom_site_fract_z
Pd1 Pd 0.5315 0.2526 0.1565
Ni1 Ni 0.0000 0.0000 0.0000
V1 V 0.5000 0.5000 0.5000
Pd2 Pd 0.4685 0.7474 0.8435
Pd3 Pd 0.0555 0.5279 0.1649
Pd4 Pd 0.2523 0.0559 0.1552
Pd5 Pd 0.9445 0.4721 0.8351
Pd6 Pd 0.7477 0.9441 0.8448
```

Verdict on stability: one comes out on top.

--- one ---
Compound: NiPd2W
Source: the Alexandria database
Functional: PBE
Structure: relaxed

Cell and atoms, written as CIF:
```
data_NiPd2W
_cell_length_a 6.9034
_cell_length_b 6.9034
_cell_length_c 5.5444
_cell_angle_alpha 51.50
_cell_angle_beta 51.50
_cell_angle_gamma 90.00
_space_group_name_H-M_alt 'P 1'
_space_group_IT_number 1
_space_group_name_Hall 'P 1'
loop_
_atom_site_label
_atom_site_type_symbol
_atom_site_fract_x
_atom_site_fract_y
_atom_site_fract_z
W1 W 0.7500 0.2500 0.5000
Pd1 Pd 0.8750 0.8692 0.7500
W2 W 0.0000 0.0000 0.0000
Ni1 Ni 0.5000 0.5000 0.0000
Ni2 Ni 0.2500 0.7500 0.5000
Pd2 Pd 0.6192 0.1250 0.2500
Pd3 Pd 0.3750 0.3808 0.7500
Pd4 Pd 0.1308 0.6250 0.2500
```

--- two ---
Compound: NiPd2W
Source: the Alexandria database
Functional: PBE
Structure: relaxed

Cell and atoms, written as CIF:
```
data_NiPd2W
_cell_length_a 4.3492
_cell_length_b 4.3492
_cell_length_c 4.3492
_cell_angle_alpha 60.00
_cell_angle_beta 60.00
_cell_angle_gamma 60.00
_space_group_name_H-M_alt 'P 1'
_space_group_IT_number 1
_space_group_name_Hall 'P 1'
loop_
_atom_site_label
_atom_site_type_symbol
_atom_site_fract_x
_atom_site_fract_y
_atom_site_fract_z
Pd1 Pd 0.2500 0.2500 0.2500
Ni1 Ni 0.0000 0.0000 0.0000
W1 W 0.5000 0.5000 0.5000
Pd2 Pd 0.7500 0.7500 0.7500
```

Verdict on stability: two comes out on top.

--- one ---
Compound: Ni4PdW
Source: the Alexandria database
Functional: PBE
Structure: relaxed

Cell and atoms, written as CIF:
```
data_Ni4PdW
_cell_length_a 4.6917
_cell_length_b 4.6917
_cell_length_c 4.6917
_cell_angle_alpha 60.00
_cell_angle_beta 60.00
_cell_angle_gamma 60.00
_space_group_name_H-M_alt 'P 1'
_space_group_IT_number 1
_space_group_name_Hall 'P 1'
loop_
_atom_site_label
_atom_site_type_symbol
_atom_site_fract_x
_atom_site_fract_y
_atom_site_fract_z
Ni1 Ni 0.6248 0.6248 0.1257
Ni2 Ni 0.6248 0.6248 0.6248
Pd1 Pd 0.0000 0.0000 0.0000
W1 W 0.2500 0.2500 0.2500
Ni3 Ni 0.6248 0.1257 0.6248
Ni4 Ni 0.1257 0.6248 0.6248
```

--- two ---
Compound: Ni4PdW
Source: the Alexandria database
Functional: PBE
Structure: relaxed

Cell and atoms, written as CIF:
```
data_Ni4PdW
_cell_length_a 4.4804
_cell_length_b 4.4769
_cell_length_c 7.7921
_cell_angle_alpha 74.78
_cell_angle_beta 90.14
_cell_angle_gamma 98.84
_space_group_name_H-M_alt 'P 1'
_space_group_IT_number 1
_space_group_name_Hall 'P 1'
loop_
_atom_site_label
_atom_site_type_symbol
_atom_site_fract_x
_atom_site_fract_y
_atom_site_fract_z
Ni1 Ni 0.0054 0.5002 0.8350
Ni2 Ni 0.9946 0.4998 0.1650
Ni3 Ni 0.2492 0.0002 0.5827
Ni4 Ni 0.4946 0.4998 0.6650
W1 W 0.0000 0.5000 0.5000
Ni5 Ni 0.7508 0.9998 0.4173
Ni6 Ni 0.5054 0.5002 0.3350
Ni7 Ni 0.7492 0.0002 0.0827
Pd1 Pd 0.7500 0.0000 0.7500
Ni8 Ni 0.2508 0.9998 0.9173
Pd2 Pd 0.2500 0.0000 0.2500
W2 W 0.5000 0.5000 0.0000
```

Verdict on stability: one comes out on top.